1.
## Al2CuPd4 (GGA-PBE)

Data for crystalline Al2CuPd4 at its relaxed geometry.

The value obtained for the total energy is -4.539 eV per atom. As for the total magnetization: 0.0 μB per cell. As for the relative energy among the computed polymorphs: 644 meV per atom.

a b c (Å): 4.5537 4.5537 7.0086
angles (deg): 71.04 71.04 90.00
Atoms (fractional coordinates):
1 Pd 0.5000 0.0000 0.0000
2 Pd 0.1996 0.1996 0.6007
3 Pd 0.0000 0.5000 0.0000
4 Pd 0.8004 0.8004 0.3993
5 Al 0.3883 0.3883 0.2234
6 Al 0.6117 0.6117 0.7766
7 Cu 0.0000 0.0000 0.0000

2.
## Al2CuPd (GGA-PBE)

Data for crystalline Al2CuPd at its relaxed geometry.

The value obtained for the total energy is -4.536 eV per atom. As for the total magnetization: 0.0 μB per cell.

a b c (Å): 4.1523 4.1523 4.9276
angles (deg): 65.08 65.08 60.00
Atoms (fractional coordinates):
1 Al 0.0654 0.0654 0.8037
2 Al 0.2701 0.2701 0.1898
3 Pd 0.6840 0.6840 0.9481
4 Cu 0.4805 0.4805 0.5584